[1]
First-principles (PBE) data for a geometry-optimized LaTb2Zn2 structure, as listed in Alexandria.

Properties
**Size of the total moment**: 0.0 μB per cell
**E**: -3.595 eV/atom
**D(E_F)**: 5.50 states/eV/f.u.
**Formation energy from the elements**: -23.9 kJ/mol of atoms
**Crystal system**: monoclinic
**Space-group type**: P2_1/m

Lattice parameters (Å, degrees): 3.669 5.309 13.563 90.00 97.78 90.00
Positions (direct):
La: 0.856 0.750 0.714
La: 0.144 0.250 0.286
Zn: 0.545 0.250 0.090
Zn: 0.641 0.750 0.280
Zn: 0.455 0.750 0.910
Zn: 0.359 0.250 0.720
Tb: 0.047 0.750 0.094
Tb: 0.953 0.250 0.906
Tb: 0.232 0.750 0.464
Tb: 0.768 0.250 0.536

[2]
First-principles (PBE) data for a geometry-optimized TaTlBr2 structure, as listed in Alexandria.

Properties
**Formation energy from raw total energies**: 202 kJ/mol of formula units
**Size of the total moment**: 0.7 μB per cell
**E**: -3.867 eV/atom
**Offset from the most stable computed form**: 729 meV/atom
**D(E_F)**: 3.47 states/eV/f.u.
**Crystal system**: monoclinic
**Space-group type**: C2/m

Lattice parameters (Å, degrees): 5.834 6.063 3.298 72.54 93.34 119.80
Last column: magnetic moment on the atom in μB.
Positions (direct):
Ta: 0.000 0.500 0.500  0.48
Tl: 0.500 0.500 0.000  -0.01
Br: 0.500 0.000 0.500  -0.01
Br: 0.000 0.000 0.000  -0.01

[3]
First-principles (PBE) data for a geometry-optimized MnCd2Ni2 structure, as listed in Alexandria.

Properties
**Size of the total moment**: 8.0 μB per cell
**E**: -4.397 eV/atom
**D(E_F)**: 2.83 states/eV/f.u.
**Formation energy from the elements**: 11.1 kJ/mol of atoms
**Crystal system**: tetragonal
**Space-group type**: P4/mbm

Lattice parameters (Å, degrees): 6.283 6.283 4.037 90.00 90.00 90.00
Last column: magnetic moment on the atom in μB.
Positions (direct):
Mn: 0.500 0.500 0.000  3.65
Mn: 0.000 0.000 0.000  3.65
Ni: 0.868 0.632 0.000  0.19
Ni: 0.368 0.868 0.000  0.19
Ni: 0.632 0.132 0.000  0.19
Ni: 0.132 0.368 0.000  0.19
Cd: 0.828 0.328 0.500  -0.04
Cd: 0.172 0.672 0.500  -0.04
Cd: 0.672 0.828 0.500  -0.04
Cd: 0.328 0.172 0.500  -0.04

[4]
First-principles (PBE) data for a geometry-optimized LiSiP structure, as listed in Alexandria.

Properties
**Formation energy from raw total energies**: 41 kJ/mol of formula units
**Size of the total moment**: 0.0 μB per cell
**E**: -4.106 eV/atom
**Offset from the most stable computed form**: 420 meV/atom
**D(E_F)**: 1.17 states/eV/f.u.
**Crystal system**: cubic
**Space-group type**: F-43m

Lattice parameters (Å, degrees): 3.996 3.996 3.996 60.00 60.00 60.00
Positions (direct):
P: 0.000 0.000 0.000
Li: 0.250 0.250 0.250
Si: 0.500 0.500 0.500

[5]
First-principles (PBE) data for a geometry-optimized ThPaAsSe structure, as listed in Alexandria.

Properties
**Formation energy from raw total energies**: -419 kJ/mol of formula units
**Size of the total moment**: 0.0 μB per cell
**E**: -7.347 eV/atom
**Offset from the most stable computed form**: 73 meV/atom
**D(E_F)**: 4.01 states/eV/f.u.
**Crystal system**: cubic
**Space-group type**: F-43m

Lattice parameters (Å, degrees): 5.074 5.074 5.074 60.00 60.00 60.00
Positions (direct):
Pa: 0.000 0.000 0.000
Th: 0.500 0.500 0.500
Se: 0.750 0.750 0.750
As: 0.250 0.250 0.250

[6]
First-principles (PBE) data for a geometry-optimized TaBeAg2 structure, as listed in Alexandria.

Properties
**Size of the total moment**: 0.0 μB per cell
**E**: -4.990 eV/atom
**D(E_F)**: 1.67 states/eV/f.u.
**Formation energy from the elements**: 31.9 kJ/mol of atoms
**Crystal system**: trigonal
**Space-group type**: R-3m

Lattice parameters (Å, degrees): 9.178 9.178 9.178 17.82 17.82 17.82
Positions (direct):
Be: 0.250 0.250 0.250
Ta: 0.750 0.750 0.750
Ag: 0.989 0.989 0.989
Ag: 0.511 0.511 0.511